Record 1
Here is an optimized crystal structure of La2HgPb from Alexandria. Energies are from PBE-GGA.

The structure belongs to space group F-43m (No. 216); the cell edges are 7.878, 7.878 and 7.878 Å and the angles 90.00°, 90.00° and 90.00°. Symmetry generates all atoms from La at (0.000, 0.000, 0.000), La at (0.250, 0.250, 0.250), Hg at (0.000, 0.000, 0.500) and Pb at (0.250, 0.250, 0.750).

The calculated total energy comes out at -56.96 eV for the cell shown. Its crystal system is cubic.

Record 2
Here is an optimized crystal structure of LaHg2Pb from Alexandria. Energies are from PBE-GGA.

The structure belongs to space group P4/mmm (No. 123); the cell edges are 4.752, 4.752 and 4.945 Å and the angles 90.00°, 90.00° and 90.00°. Symmetry generates all atoms from La at (0.000, 0.000, 0.000), Hg at (0.000, 0.500, 0.500) and Pb at (0.500, 0.500, 0.000).

The calculated total energy comes out at -10.97 eV for the cell shown. Its crystal system is tetragonal.

Record 3
Here is an optimized crystal structure of La3Hg2Pb2 from Alexandria. Energies are from PBE-GGA.

The structure belongs to space group P-1 (No. 2); the cell edges are 4.942, 5.769 and 9.390 Å and the angles 72.35°, 74.93° and 64.69°. Symmetry generates all atoms from La at (0.000, 0.000, 0.000), La at (0.280, 0.147, 0.295), Hg at (0.049, 0.266, 0.633) and Pb at (0.357, 0.428, 0.857).

The calculated total energy comes out at -26.09 eV for the cell shown. Its crystal system is triclinic.

Record 4
Here is an optimized crystal structure of La2HgPb from Alexandria. Energies are from PBE-GGA.

The structure belongs to space group R-3m (No. 166, hexagonal axes); the cell edges are 4.1191, 4.1191 and 27.9258 Å and the angles 90.00°, 90.00° and 120.00°. Symmetry generates all atoms from La at (0.0000, 0.0000, 0.2486), Hg at (0.0000, 0.0000, 0.5000) and Pb at (0.0000, 0.0000, 0.0000).

The calculated total energy comes out at -45.99 eV for the cell shown. Its crystal system is trigonal.

Record 5
Here is an optimized crystal structure of LaHgPb2 from Alexandria. Energies are from PBE-GGA.

The structure belongs to space group Pmm2 (No. 25); the cell edges are 3.734, 4.482 and 7.123 Å and the angles 90.00°, 90.00° and 90.00°. Symmetry generates all atoms from La at (0.000, 0.000, 0.000), Hg at (0.500, 0.500, 0.746), Pb at (0.000, 0.000, 0.504) and Pb at (0.500, 0.500, 0.265).

The calculated total energy comes out at -13.80 eV for the cell shown. Its crystal system is orthorhombic.

Record 6
Here is an optimized crystal structure of La5HgPb2 from Alexandria. Energies are from PBE-GGA.

The structure belongs to space group Pbam (No. 55); the cell edges are 8.353, 13.046 and 5.042 Å and the angles 90.00°, 90.00° and 90.00°. Symmetry generates all atoms from La at (0.000, 0.000, 0.000), La at (0.160, 0.277, 0.000), La at (0.196, 0.570, 0.500), Hg at (0.000, 0.500, 0.000) and Pb at (0.077, 0.830, 0.500).

The calculated total energy comes out at -72.40 eV for the cell shown. Its crystal system is orthorhombic.